No. 1
First-principles (PBE) data for a relaxed NdGdCl3 crystal, as listed in OQMD.

**Excess energy over the best structure of this formula in the dataset**: 0.000 eV per atom
**ρ**: 4.75 g cm⁻³

```
data_NdGdCl3
_space_group_name_H-M_alt 'C 1 2/m 1'
_space_group_IT_number 12
_cell_length_a 15.599
_cell_length_b 3.945
_cell_length_c 10.517
_cell_angle_alpha 90.00
_cell_angle_beta 118.16
_cell_angle_gamma 90.00
loop_
_space_group_symop_operation_xyz
'x,y,z'
'-x,-y,-z'
'-x,y,-z'
'x,-y,z'
'x+1/2,y+1/2,z'
'-x+1/2,-y+1/2,-z'
'-x+1/2,y+1/2,-z'
'x+1/2,-y+1/2,z'
loop_
_atom_site_label
_atom_site_type_symbol
_atom_site_fract_x
_atom_site_fract_y
_atom_site_fract_z
Nd1 Nd 0.140 0.000 0.293
Gd1 Gd 0.089 0.500 0.949
Cl1 Cl 0.050 0.000 0.744
Cl2 Cl 0.156 0.500 0.509
Cl3 Cl 0.227 0.000 0.112
```

No. 2
First-principles (PBE) data for a relaxed PrCuPbSe2S crystal, as listed in OQMD.

**ρ**: 6.73 g cm⁻³
**Calculated total energy**: -4.902 eV per atom

```
data_PrCuPbSe2S
_space_group_name_H-M_alt 'C m c m'
_space_group_IT_number 63
_space_group_name_Hall '-C 2c 2'
_cell_length_a 4.102
_cell_length_b 13.503
_cell_length_c 10.719
_cell_angle_alpha 90.00
_cell_angle_beta 90.00
_cell_angle_gamma 90.00
loop_
_atom_site_label
_atom_site_type_symbol
_atom_site_fract_x
_atom_site_fract_y
_atom_site_fract_z
Pr1 Pr 0.000 0.000 0.000
Cu1 Cu 0.000 0.472 0.250
Pb1 Pb 0.000 0.254 0.750
Se1 Se 0.000 0.353 0.074
S1 S 0.000 0.072 0.250
```

No. 3
First-principles (PBE) data for a relaxed ZrFeCuBi crystal, as listed in OQMD.

**Excess energy over the best structure of this formula in the dataset**: 0.141 eV per atom
**ρ**: 9.55 g cm⁻³

```
data_ZrFeCuBi
_space_group_name_H-M_alt 'F -4 3 m'
_space_group_IT_number 216
_space_group_name_Hall 'F -4 2 3'
_cell_length_a 6.634
_cell_length_b 6.634
_cell_length_c 6.634
_cell_angle_alpha 90.00
_cell_angle_beta 90.00
_cell_angle_gamma 90.00
loop_
_atom_site_label
_atom_site_type_symbol
_atom_site_fract_x
_atom_site_fract_y
_atom_site_fract_z
Zr1 Zr 0.000 0.000 0.000
Fe1 Fe 0.000 0.000 0.500
Cu1 Cu 0.250 0.250 0.750
Bi1 Bi 0.250 0.250 0.250
```

No. 4
First-principles (PBE) data for a relaxed HfCdCuAs crystal, as listed in OQMD.

**Excess energy over the best structure of this formula in the dataset**: 0.000 eV per atom
**ρ**: 9.81 g cm⁻³

```
data_HfCdCuAs
_space_group_name_H-M_alt 'F -4 3 m'
_space_group_IT_number 216
_space_group_name_Hall 'F -4 2 3'
_cell_length_a 6.624
_cell_length_b 6.624
_cell_length_c 6.624
_cell_angle_alpha 90.00
_cell_angle_beta 90.00
_cell_angle_gamma 90.00
loop_
_atom_site_label
_atom_site_type_symbol
_atom_site_fract_x
_atom_site_fract_y
_atom_site_fract_z
Hf1 Hf 0.000 0.000 0.000
Cd1 Cd 0.250 0.250 0.750
Cu1 Cu 0.000 0.000 0.500
As1 As 0.250 0.250 0.250
```

No. 5
First-principles (PBE) data for a relaxed InBi5Pt3 crystal, as listed in OQMD.

**ρ**: 12.01 g cm⁻³
**Calculated total energy**: -4.636 eV per atom

```
data_InBi5Pt3
_space_group_name_H-M_alt 'P 6/m m m'
_space_group_IT_number 191
_space_group_name_Hall '-P 6 2'
_cell_length_a 5.7563
_cell_length_b 5.7563
_cell_length_c 8.4064
_cell_angle_alpha 90.00
_cell_angle_beta 90.00
_cell_angle_gamma 120.00
loop_
_atom_site_label
_atom_site_type_symbol
_atom_site_fract_x
_atom_site_fract_y
_atom_site_fract_z
In1 In 0.0000 0.0000 0.0000
Bi1 Bi 0.0000 0.0000 0.5000
Bi2 Bi 0.3333 0.6667 0.2119
Pt1 Pt 0.0000 0.5000 0.5000
```

No. 6
First-principles (PBE) data for a relaxed Ba2TaZn crystal, as listed in OQMD.

**ρ**: 7.22 g cm⁻³
**Calculated total energy**: -3.312 eV per atom

```
data_Ba2TaZn
_space_group_name_H-M_alt 'F -4 3 m'
_space_group_IT_number 216
_space_group_name_Hall 'F -4 2 3'
_cell_length_a 7.825
_cell_length_b 7.825
_cell_length_c 7.825
_cell_angle_alpha 90.00
_cell_angle_beta 90.00
_cell_angle_gamma 90.00
loop_
_atom_site_label
_atom_site_type_symbol
_atom_site_fract_x
_atom_site_fract_y
_atom_site_fract_z
Ba1 Ba 0.000 0.000 0.000
Ba2 Ba 0.250 0.250 0.250
Ta1 Ta 0.000 0.000 0.500
Zn1 Zn 0.250 0.250 0.750
```

No. 7
First-principles (PBE) data for a relaxed Rb3NaAg2P2 crystal, as listed in OQMD.

**ρ**: 3.84 g cm⁻³
**Calculated total energy**: -2.873 eV per atom

```
data_Rb3NaAg2P2
_space_group_name_H-M_alt 'P 1 m 1'
_space_group_IT_number 6
_cell_length_a 6.380
_cell_length_b 6.018
_cell_length_c 6.447
_cell_angle_alpha 90.00
_cell_angle_beta 103.01
_cell_angle_gamma 90.00
loop_
_space_group_symop_operation_xyz
'x,y,z'
'x,-y,z'
loop_
_atom_site_label
_atom_site_type_symbol
_atom_site_fract_x
_atom_site_fract_y
_atom_site_fract_z
Rb1 Rb 0.000 0.000 0.000
Rb2 Rb 0.283 0.500 0.280
Rb3 Rb 0.615 0.500 0.924
Na1 Na 0.310 0.000 0.609
Ag1 Ag 0.820 0.251 0.477
P1 P 0.073 0.500 0.715
P2 P 0.553 0.000 0.260
```

No. 8
First-principles (PBE) data for a relaxed Li4MgAgGe2 crystal, as listed in OQMD.

**ρ**: 3.99 g cm⁻³
**Calculated total energy**: -2.983 eV per atom

```
data_Li4MgAgGe2
_space_group_name_H-M_alt 'P -4 m 2'
_space_group_IT_number 115
_cell_length_a 4.486
_cell_length_b 4.486
_cell_length_c 6.307
_cell_angle_alpha 90.00
_cell_angle_beta 90.00
_cell_angle_gamma 90.00
loop_
_space_group_symop_operation_xyz
'x,y,z'
'y,-x,-z'
'-x,-y,z'
'-y,x,-z'
'-x,y,z'
'-y,-x,-z'
'x,-y,z'
'y,x,-z'
loop_
_atom_site_label
_atom_site_type_symbol
_atom_site_fract_x
_atom_site_fract_y
_atom_site_fract_z
Li1 Li 0.000 0.000 0.000
Li2 Li 0.000 0.500 0.729
Li3 Li 0.500 0.500 0.500
Mg1 Mg 0.500 0.500 0.000
Ag1 Ag 0.000 0.000 0.500
Ge1 Ge 0.000 0.500 0.251
```

> Which formula does entry 1 have?

NdGdCl3